No. 1
DFT (PBE) results for a geometry-optimized LiHf2BeB structure.

Cell and atoms, written as POSCAR:
```
LiHf2BeB
1.0
4.526 0.000 0.000
0.000 3.960 0.000
0.000 0.000 4.526
Be B Hf Li
1 1 2 1
direct
0.500 0.500 0.500
0.000 0.000 0.000
0.000 0.000 0.500
0.500 0.000 0.000
0.000 0.500 0.000
```

Output
Formation energy from the elements = 0.236 eV/atom

No. 2
DFT (PBE) results for a geometry-optimized Nd2ErP structure.

Cell and atoms, written as POSCAR:
```
Nd2ErP
1.0
-3.638 1.450 -0.111
-2.219 -0.519 -3.187
-5.296 -7.799 2.550
P Nd Er
1 2 1
direct
0.000 0.000 0.000
0.273 0.273 0.181
0.727 0.727 0.819
0.500 0.500 0.500
```

Output
Formation energy from the elements = -0.601 eV/atom

No. 3
DFT (PBE) results for a geometry-optimized ThGe2Rh structure.

Cell and atoms, written as POSCAR:
```
ThGe2Rh
1.0
4.309 0.000 -1.001
-0.983 7.778 -4.232
-0.048 0.096 9.565
Th Ge Rh
4 8 4
direct
0.707 0.707 0.415
0.500 0.256 0.000
0.500 0.744 0.000
0.293 0.293 0.585
0.924 0.424 0.849
0.695 0.349 0.390
0.695 0.042 0.390
0.305 0.651 0.610
0.077 0.077 0.153
0.076 0.576 0.151
0.923 0.923 0.847
0.305 0.958 0.610
0.853 0.604 0.706
0.147 0.396 0.294
0.147 0.898 0.294
0.853 0.102 0.706
```

Output
Formation energy from the elements = -0.848 eV/atom

No. 4
DFT (PBE) results for a geometry-optimized Ce2MoP4Ir3 structure.

Cell and atoms, written as POSCAR:
```
Ce2MoP4Ir3
1.0
4.247 0.000 0.000
0.000 4.247 0.000
0.000 0.000 9.383
Ce Mo P Ir
2 1 4 3
direct
0.500 0.000 0.240
0.000 0.500 0.760
0.500 0.500 0.500
0.500 0.500 0.000
0.000 0.000 0.000
0.500 0.000 0.630
0.000 0.500 0.370
0.000 0.000 0.500
0.500 0.000 0.888
0.000 0.500 0.112
```

Output
Formation energy from the elements = -1.002 eV/atom

No. 5
DFT (PBE) results for a geometry-optimized Rb7AuCl5 structure.

Cell and atoms, written as POSCAR:
```
Rb7AuCl5
1.0
4.714 0.000 0.000
-2.357 7.925 0.000
0.000 -0.065 28.681
Rb Au Cl
14 2 10
direct
0.461 0.922 0.250
0.540 0.080 0.750
0.636 0.273 0.035
0.364 0.729 0.965
0.364 0.729 0.535
0.636 0.272 0.465
0.183 0.366 0.174
0.818 0.636 0.825
0.819 0.637 0.674
0.182 0.363 0.326
0.911 0.822 0.106
0.090 0.180 0.894
0.091 0.181 0.606
0.910 0.819 0.394
0.792 0.584 0.251
0.209 0.417 0.749
0.000 0.001 0.000
0.727 0.453 0.929
0.274 0.549 0.071
0.542 0.085 0.360
0.458 0.916 0.640
0.000 0.000 0.500
0.274 0.547 0.429
0.727 0.453 0.571
0.457 0.914 0.860
0.544 0.087 0.140
```

Output
Calculated total energy = -38.881 eV per formula unit

No. 6
DFT (PBE) results for a geometry-optimized Rb3BiSb2O8 structure.

Cell and atoms, written as POSCAR:
```
Rb3BiSb2O8
1.0
6.308 0.000 0.000
-3.154 5.463 0.000
0.000 0.000 8.154
Rb Bi Sb O
3 1 2 8
direct
0.333 0.667 0.681
0.667 0.333 0.319
0.000 0.000 0.000
0.000 0.000 0.500
0.333 0.667 0.235
0.667 0.333 0.765
0.333 0.667 0.006
0.667 0.333 0.994
0.170 0.830 0.325
0.830 0.170 0.675
0.170 0.341 0.325
0.830 0.659 0.675
0.659 0.830 0.325
0.341 0.170 0.675
```

Output
Calculated total energy = -74.740 eV per formula unit